Entry A
Entry from Alexandria: a geometry-optimized LaHoP structure (PBE-GGA).

Summary:
* DOS(E_F): 8.14 states/eV per cell
* total magnetization: 0.5 μB/f.u.

abc: 5.836 6.505 6.505
angles: 126.46 90.00 90.00
Last column: magnetic moment on the atom in μB.
Positions (direct):
P: 0.250 0.202 0.798  0.00
Ho: 0.000 0.000 0.000  0.23
Ho: 0.500 0.000 0.000  0.23
P: 0.750 0.798 0.202  0.00
La: 0.250 0.701 0.299  0.05
La: 0.750 0.299 0.701  0.05


Entry B
Entry from Alexandria: a geometry-optimized LaHoP structure (PBE-GGA).

Summary:
* DOS(E_F): 3.37 states/eV per cell
* total magnetization: 0.7 μB/f.u.

abc: 6.738 3.978 3.978
angles: 120.00 90.00 90.00
Last column: magnetic moment on the atom in μB.
Positions (direct):
P: 0.013 0.000 0.000  -0.01
La: 0.752 0.667 0.333  0.12
Ho: 0.236 0.333 0.667  0.20


Stability summary - winner: entry B; margin: 390 meV per atom.


Entry A
Entry from Alexandria: a geometry-optimized La2HoPb3 structure (PBE-GGA).

Summary:
* DOS(E_F): 7.14 states/eV per cell
* total magnetization: 0.0 μB/f.u.

abc: 6.621 6.472 9.440
angles: 101.01 110.53 90.00
Positions (direct):
Pb: 0.957 0.426 0.687
Ho: 0.122 0.250 0.000
La: 0.549 0.603 0.339
Ho: 0.878 0.750 0.000
La: 0.790 0.103 0.339
Pb: 0.622 0.250 0.000
La: 0.210 0.897 0.661
Pb: 0.378 0.750 0.000
Pb: 0.730 0.926 0.687
Pb: 0.270 0.074 0.313
La: 0.451 0.397 0.661
Pb: 0.043 0.574 0.313


Entry B
Entry from Alexandria: a geometry-optimized La2HoPb3 structure (PBE-GGA).

Summary:
* DOS(E_F): 12.07 states/eV per cell
* total magnetization: 0.2 μB/f.u.

abc: 5.912 9.312 7.089
angles: 90.00 89.99 71.49
Last column: magnetic moment on the atom in μB.
Positions (direct):
Pb: 0.500 0.000 0.765  0.00
Ho: 0.334 0.331 0.000  -0.19
Pb: 0.829 0.342 0.768  0.00
Ho: 0.666 0.669 0.000  -0.19
La: 0.336 0.328 0.500  -0.14
Pb: 0.829 0.342 0.232  0.00
Pb: 0.171 0.658 0.232  0.00
Pb: 0.500 0.000 0.235  0.00
La: 0.000 0.000 0.000  0.16
La: 0.000 0.000 0.500  0.17
La: 0.664 0.672 0.500  -0.14
Pb: 0.171 0.658 0.768  0.00


Stability summary - winner: entry A; margin: 10 meV per atom.


Entry A
Entry from Alexandria: a geometry-optimized La2HoPb structure (PBE-GGA).

Summary:
* DOS(E_F): 3.93 states/eV per cell
* total magnetization: 0.0 μB/f.u.

abc: 4.397 4.397 6.836
angles: 90.00 90.00 90.00
Positions (direct):
Pb: 0.500 0.500 0.500
La: 0.000 0.000 0.269
La: 0.000 0.000 0.731
Ho: 0.500 0.500 0.000


Entry B
Entry from Alexandria: a geometry-optimized La2HoPb structure (PBE-GGA).

Summary:
* DOS(E_F): 10.39 states/eV per cell
* total magnetization: 0.0 μB/f.u.

abc: 6.893 7.039 7.039
angles: 72.52 60.69 60.69
Positions (direct):
La: 0.299 0.701 0.201
Pb: 0.250 0.201 0.299
Pb: 0.750 0.799 0.701
Ho: 0.250 0.816 0.684
La: 0.201 0.299 0.799
La: 0.799 0.701 0.201
Ho: 0.750 0.184 0.316
La: 0.701 0.299 0.799


Stability summary - winner: entry B; margin: 44 meV per atom.


Entry A
Entry from Alexandria: a geometry-optimized La3HoPb2 structure (PBE-GGA).

Summary:
* DOS(E_F): 14.92 states/eV per cell
* total magnetization: 0.0 μB/f.u.

abc: 5.027 9.222 9.843
angles: 117.93 104.80 90.00
Positions (direct):
La: 0.180 0.930 0.359
La: 0.180 0.430 0.359
Ho: 0.000 0.500 0.000
La: 0.820 0.070 0.641
La: 0.500 0.750 0.000
Pb: 0.353 0.353 0.706
Pb: 0.647 0.647 0.294
Ho: 0.000 0.000 0.000
La: 0.500 0.250 0.000
Pb: 0.353 0.853 0.706
La: 0.820 0.570 0.641
Pb: 0.647 0.147 0.294


Entry B
Entry from Alexandria: a geometry-optimized La3HoPb2 structure (PBE-GGA).

Summary:
* DOS(E_F): 8.68 states/eV per cell
* total magnetization: 0.0 μB/f.u.

abc: 4.767 4.767 8.945
angles: 90.00 90.00 90.00
Positions (direct):
La: 0.000 0.000 0.000
Pb: 0.000 0.500 0.277
La: 0.500 0.000 0.347
La: 0.000 0.500 0.653
Ho: 0.500 0.500 0.000
Pb: 0.500 0.000 0.723


Stability summary - winner: entry B; margin: 19 meV per atom.


Entry A
Entry from Alexandria: a geometry-optimized LaHo2Pd structure (PBE-GGA).

Summary:
* DOS(E_F): 17.49 states/eV per cell
* total magnetization: 0.0 μB/f.u.

abc: 6.579 7.154 9.787
angles: 90.00 90.00 90.00
Positions (direct):
Ho: 0.670 0.823 0.562
La: 0.137 0.982 0.750
Pd: 0.579 0.116 0.750
Ho: 0.830 0.323 0.938
Ho: 0.670 0.823 0.938
Ho: 0.830 0.323 0.562
Ho: 0.330 0.177 0.062
La: 0.863 0.018 0.250
Pd: 0.079 0.384 0.250
La: 0.637 0.518 0.250
Pd: 0.421 0.884 0.250
La: 0.363 0.482 0.750
Ho: 0.330 0.177 0.438
Ho: 0.170 0.677 0.438
Ho: 0.170 0.677 0.062
Pd: 0.921 0.616 0.750


Entry B
Entry from Alexandria: a geometry-optimized LaHo2Pd structure (PBE-GGA).

Summary:
* DOS(E_F): 5.08 states/eV per cell
* total magnetization: 0.0 μB/f.u.

abc: 3.921 3.921 9.490
angles: 78.08 78.08 60.00
Positions (direct):
Ho: 0.273 0.273 0.181
Ho: 0.059 0.059 0.822
La: 0.502 0.502 0.493
Pd: 0.666 0.666 0.003


Entry C
Entry from Alexandria: a geometry-optimized LaHo2Pd structure (PBE-GGA).

Summary:
* DOS(E_F): 10.09 states/eV per cell
* total magnetization: 0.0 μB/f.u.

abc: 3.799 6.589 9.428
angles: 90.00 90.00 106.75
Positions (direct):
Pd: 0.762 0.525 0.750
Ho: 0.360 0.722 0.939
Ho: 0.640 0.278 0.061
La: 0.062 0.124 0.750
Ho: 0.360 0.722 0.561
Pd: 0.238 0.475 0.250
La: 0.938 0.876 0.250
Ho: 0.640 0.278 0.439


Entry D
Entry from Alexandria: a geometry-optimized LaHo2Pd structure (PBE-GGA).

Summary:
* DOS(E_F): 5.18 states/eV per cell
* total magnetization: 0.0 μB/f.u.

abc: 3.764 3.764 9.963
angles: 79.11 79.11 60.00
Positions (direct):
Pd: 0.000 0.000 0.000
Ho: 0.271 0.271 0.187
La: 0.500 0.500 0.500
Ho: 0.729 0.729 0.813


Stability summary - winner: entry A; margin: 19 meV per atom.


Entry A
Entry from Alexandria: a geometry-optimized LaHoPdPt structure (PBE-GGA).

Summary:
* DOS(E_F): 3.44 states/eV per cell
* total magnetization: 0.0 μB/f.u.

abc: 5.067 5.067 5.067
angles: 60.00 60.00 60.00
Positions (direct):
La: 0.000 0.000 0.000
Pd: 0.250 0.250 0.250
Ho: 0.500 0.500 0.500
Pt: 0.750 0.750 0.750


Entry B
Entry from Alexandria: a geometry-optimized LaHoPdPt structure (PBE-GGA).

Summary:
* DOS(E_F): 2.46 states/eV per cell
* total magnetization: 0.0 μB/f.u.

abc: 3.841 4.575 5.741
angles: 90.00 109.54 90.00
Positions (direct):
Ho: 0.866 0.500 0.731
Pd: 0.586 0.500 0.173
La: 0.138 0.000 0.276
Pt: 0.410 0.000 0.820


Stability summary - winner: entry B; margin: 86 meV per atom.


Entry A
Entry from Alexandria: a geometry-optimized La2Pm7Ho2 structure (PBE-GGA).

Summary:
* DOS(E_F): 17.27 states/eV per cell
* total magnetization: 0.0 μB/f.u.

abc: 3.628 11.004 11.004
angles: 64.63 80.51 80.51
Positions (direct):
Pm: 0.168 0.676 0.988
Pm: 0.500 0.025 0.975
Ho: 0.500 0.336 0.664
Ho: 0.000 0.761 0.239
La: 0.705 0.888 0.702
Pm: 0.834 0.508 0.824
Pm: 0.383 0.704 0.530
Pm: 0.166 0.176 0.492
Pm: 0.617 0.470 0.296
Pm: 0.832 0.012 0.324
La: 0.295 0.298 0.112


Entry B
Entry from Alexandria: a geometry-optimized La2Pm7Ho2 structure (PBE-GGA).

Summary:
* DOS(E_F): 16.30 states/eV per cell
* total magnetization: 0.0 μB/f.u.

abc: 8.836 6.113 8.836
angles: 63.77 97.87 116.23
Positions (direct):
Ho: 0.779 0.500 0.779
Pm: 0.952 0.184 0.591
Pm: 0.000 0.000 0.000
Pm: 0.591 0.816 0.952
Pm: 0.048 0.816 0.409
Pm: 0.577 0.355 0.423
Pm: 0.409 0.184 0.048
Pm: 0.423 0.645 0.577
Ho: 0.221 0.500 0.221
La: 0.773 0.150 0.227
La: 0.227 0.850 0.773


Stability summary - winner: entry B; margin: 27 meV per atom.


Entry A
Entry from Alexandria: a geometry-optimized LaPm5Ho structure (PBE-GGA).

Summary:
* DOS(E_F): 8.88 states/eV per cell
* total magnetization: 0.0 μB/f.u.

abc: 5.927 7.407 7.407
angles: 74.68 90.05 90.05
Positions (direct):
La: 0.000 0.000 0.000
Pm: 0.000 0.685 0.315
Pm: 0.500 0.000 0.000
Pm: 0.001 0.253 0.253
Pm: 0.000 0.315 0.685
Pm: 0.999 0.747 0.747
Ho: 0.500 0.500 0.500


Entry B
Entry from Alexandria: a geometry-optimized LaPm5Ho structure (PBE-GGA).

Summary:
* DOS(E_F): 11.77 states/eV per cell
* total magnetization: 0.0 μB/f.u.

abc: 5.862 8.011 8.011
angles: 66.89 68.54 68.54
Positions (direct):
Pm: 0.000 0.500 0.500
La: 0.000 0.000 0.000
Pm: 0.750 0.250 0.250
Pm: 0.500 0.819 0.181
Pm: 0.250 0.750 0.750
Pm: 0.500 0.181 0.819
Ho: 0.500 0.500 0.500


Stability summary - winner: entry A; margin: 92 meV per atom.


Entry A
Entry from Alexandria: a geometry-optimized La5PmHo2 structure (PBE-GGA).

Summary:
* DOS(E_F): 21.22 states/eV per cell
* total magnetization: 0.0 μB/f.u.

abc: 5.205 7.328 14.665
angles: 90.00 90.00 90.00
Positions (direct):
La: 0.000 0.500 0.500
Ho: 0.500 0.252 0.624
La: 0.500 0.752 0.624
La: 0.000 0.998 0.251
La: 0.000 0.502 0.751
Pm: 0.000 0.500 0.000
Ho: 0.500 0.748 0.376
La: 0.000 0.002 0.749
La: 0.500 0.248 0.376
La: 0.000 0.498 0.249
Pm: 0.000 0.000 0.500
La: 0.500 0.252 0.876
Ho: 0.500 0.248 0.124
La: 0.500 0.748 0.124
La: 0.000 0.000 0.000
Ho: 0.500 0.752 0.876


Entry B
Entry from Alexandria: a geometry-optimized La5PmHo2 structure (PBE-GGA).

Summary:
* DOS(E_F): 27.99 states/eV per cell
* total magnetization: 0.0 μB/f.u.

abc: 10.177 6.741 11.012
angles: 117.57 117.52 90.00
Positions (direct):
La: 0.688 0.034 0.184
La: 0.504 0.466 0.816
La: 0.940 0.750 0.000
La: 0.060 0.250 0.000
Ho: 0.174 0.483 0.836
La: 0.120 0.385 0.411
Ho: 0.826 0.517 0.164
Pm: 0.500 0.500 0.500
La: 0.496 0.534 0.184
Pm: 0.000 0.000 0.500
La: 0.880 0.615 0.589
Ho: 0.661 0.983 0.836
La: 0.312 0.966 0.816
La: 0.292 0.885 0.411
La: 0.708 0.115 0.589
Ho: 0.339 0.017 0.164


Stability summary - winner: entry A; margin: 118 meV per atom.


Entry A
Entry from Alexandria: a geometry-optimized LaPm3Ho5 structure (PBE-GGA).

Summary:
* DOS(E_F): 27.07 states/eV per cell
* total magnetization: 0.0 μB/f.u.

abc: 6.055 10.127 11.320
angles: 111.74 90.00 107.40
Positions (direct):
Pm: 0.000 0.000 0.000
Ho: 0.096 0.675 0.803
La: 0.125 0.000 0.250
Pm: 0.955 0.358 0.863
Pm: 0.045 0.642 0.137
Ho: 0.612 0.000 0.250
Ho: 0.388 0.000 0.750
Ho: 0.092 0.660 0.470
Ho: 0.904 0.325 0.197
Pm: 0.000 0.000 0.500
Ho: 0.568 0.660 0.970
Ho: 0.432 0.340 0.030
Ho: 0.908 0.340 0.530
Pm: 0.403 0.358 0.363
Pm: 0.597 0.642 0.637
Ho: 0.421 0.325 0.697
Ho: 0.579 0.675 0.303
La: 0.875 0.000 0.750


Entry B
Entry from Alexandria: a geometry-optimized LaPm3Ho5 structure (PBE-GGA).

Summary:
* DOS(E_F): 18.80 states/eV per cell
* total magnetization: 0.0 μB/f.u.

abc: 8.714 8.714 9.946
angles: 115.98 115.98 90.00
Positions (direct):
La: 0.750 0.250 0.500
Ho: 0.843 0.929 0.272
Pm: 0.250 0.250 0.500
Pm: 0.750 0.750 0.500
La: 0.250 0.750 0.500
Pm: 0.882 0.618 0.000
Pm: 0.118 0.382 0.000
Ho: 0.429 0.343 0.272
Ho: 0.071 0.571 0.728
Ho: 0.500 0.500 0.000
Ho: 0.000 0.000 0.000
Ho: 0.929 0.429 0.272
Ho: 0.657 0.157 0.728
Ho: 0.157 0.071 0.728
Pm: 0.618 0.118 0.000
Pm: 0.382 0.882 0.000
Ho: 0.571 0.657 0.728
Ho: 0.343 0.843 0.272


Stability summary - winner: entry B; margin: 67 meV per atom.